[1]
# Ga2Sn2H PBE-GGA optimized geometry
data_Ga2Sn2H
_space_group_name_H-M_alt 'P 1'
_space_group_IT_number 1
_space_group_name_Hall 'P 1'
_cell_length_a 5.9451
_cell_length_b 5.9451
_cell_length_c 5.6544
_cell_angle_alpha 90.00
_cell_angle_beta 90.00
_cell_angle_gamma 90.00
loop_
_atom_site_label
_atom_site_type_symbol
_atom_site_fract_x
_atom_site_fract_y
_atom_site_fract_z
H1 H 0.0000 0.0000 0.0000
H2 H 0.5000 0.5000 0.0000
Sn1 Sn 0.2747 0.7747 0.5000
Sn2 Sn 0.7747 0.7253 0.5000
Sn3 Sn 0.7253 0.2253 0.5000
Sn4 Sn 0.2253 0.2747 0.5000
Ga1 Ga 0.3340 0.8340 0.0000
Ga2 Ga 0.8340 0.6660 0.0000
Ga3 Ga 0.6660 0.1660 0.0000
Ga4 Ga 0.1660 0.3340 0.0000
# VASP energy = -3.303 eV/atom
# Symmetry = P4/mbm, No. 127

[2]
# GaTcSnH PBE-GGA optimized geometry
data_GaTcSnH
_space_group_name_H-M_alt 'P 1'
_space_group_IT_number 1
_space_group_name_Hall 'P 1'
_cell_length_a 3.4150
_cell_length_b 3.4156
_cell_length_c 5.3447
_cell_angle_alpha 90.00
_cell_angle_beta 108.63
_cell_angle_gamma 90.00
loop_
_atom_site_label
_atom_site_type_symbol
_atom_site_fract_x
_atom_site_fract_y
_atom_site_fract_z
Ga1 Ga 0.8585 0.5000 0.7170
Tc1 Tc 0.4528 0.0000 0.9056
Sn1 Sn 0.1676 0.0000 0.3352
H1 H 0.5211 0.5000 0.0422
# VASP energy = -5.167 eV/atom
# Symmetry = Amm2, No. 38

[3]
# Tl2GaSnH PBE-GGA optimized geometry
data_Tl2GaSnH
_space_group_name_H-M_alt 'P 1'
_space_group_IT_number 1
_space_group_name_Hall 'P 1'
_cell_length_a 5.1324
_cell_length_b 4.4284
_cell_length_c 5.1324
_cell_angle_alpha 90.00
_cell_angle_beta 90.00
_cell_angle_gamma 90.00
loop_
_atom_site_label
_atom_site_type_symbol
_atom_site_fract_x
_atom_site_fract_y
_atom_site_fract_z
H1 H 0.0000 0.0000 0.0000
Tl1 Tl 0.0000 0.0000 0.5000
Tl2 Tl 0.5000 0.0000 0.0000
Sn1 Sn 0.0000 0.5000 0.0000
Ga1 Ga 0.5000 0.5000 0.5000
# VASP energy = -2.771 eV/atom
# Symmetry = P4/mmm, No. 123

[4]
# TlGaSn2H PBE-GGA optimized geometry
data_TlGaSn2H
_space_group_name_H-M_alt 'P 1'
_space_group_IT_number 1
_space_group_name_Hall 'P 1'
_cell_length_a 5.7977
_cell_length_b 5.7977
_cell_length_c 3.3730
_cell_angle_alpha 90.00
_cell_angle_beta 90.00
_cell_angle_gamma 90.00
loop_
_atom_site_label
_atom_site_type_symbol
_atom_site_fract_x
_atom_site_fract_y
_atom_site_fract_z
H1 H 0.0000 0.0000 0.5000
Tl1 Tl 0.5000 0.5000 0.5000
Sn1 Sn 0.0000 0.5000 0.0000
Sn2 Sn 0.5000 0.0000 0.0000
Ga1 Ga 0.0000 0.0000 0.0000
# VASP energy = -3.167 eV/atom
# Symmetry = P4/mmm, No. 123

[5]
# YGa2SnH PBE-GGA optimized geometry
data_YGa2SnH
_space_group_name_H-M_alt 'P 1'
_space_group_IT_number 1
_space_group_name_Hall 'P 1'
_cell_length_a 4.5916
_cell_length_b 4.5916
_cell_length_c 4.3472
_cell_angle_alpha 90.00
_cell_angle_beta 90.00
_cell_angle_gamma 90.00
loop_
_atom_site_label
_atom_site_type_symbol
_atom_site_fract_x
_atom_site_fract_y
_atom_site_fract_z
Y1 Y 0.0000 0.0000 0.5000
H1 H 0.0000 0.0000 0.0000
Sn1 Sn 0.5000 0.5000 0.5000
Ga1 Ga 0.0000 0.5000 0.0000
Ga2 Ga 0.5000 0.0000 0.0000
# VASP energy = -4.224 eV/atom
# Symmetry = P4/mmm, No. 123

[6]
# SrGa2H2 PBE-GGA optimized geometry
data_SrGa2H2
_space_group_name_H-M_alt 'P 1'
_space_group_IT_number 1
_space_group_name_Hall 'P 1'
_cell_length_a 4.3591
_cell_length_b 4.3591
_cell_length_c 5.3611
_cell_angle_alpha 66.01
_cell_angle_beta 66.01
_cell_angle_gamma 90.00
loop_
_atom_site_label
_atom_site_type_symbol
_atom_site_fract_x
_atom_site_fract_y
_atom_site_fract_z
Sr1 Sr 0.0000 0.0000 0.0000
Ga1 Ga 0.3425 0.3425 0.3150
Ga2 Ga 0.6575 0.6575 0.6850
H1 H 0.7500 0.2500 0.5000
H2 H 0.2500 0.7500 0.5000
# VASP energy = -2.703 eV/atom
# Symmetry = I4/mmm, No. 139

no.,ρ (g/cm³),density of states at the Fermi level (states/eV/cell),size of the total moment (μB per formula unit)
1,6.28,3.688,0.00
2,8.08,1.264,0.00
3,8.52,1.853,0.00
4,7.51,2.863,0.00
5,6.31,2.988,0.00
6,4.56,1.892,0.00